This record from the Alexandria database describes a relaxed structure of ZnMoNF2. The functional is PBE+U.

```
5
Lattice="3.8134 0.0000 0.0000 0.0000 3.8134 0.0000 0.0000 0.0000 4.4508" Properties=species:S:1:pos:R:3 pbc="T T T"
Zn 0.0000 0.0000 0.0000
Mo 1.9067 1.9067 2.2254
N 0.0000 0.0000 2.2254
F 0.0000 1.9067 0.0000
F 1.9067 0.0000 0.0000
```

E = -0.3321 Ry per atom
Relative energy among the computed polymorphs = 1.76 eV/f.u.
Magnetic moment = 3.01 μB per cell